Density functional theory data (SCAN) for a PBEsol-optimized structure of Na2CdHg.

POSCAR file:
```
Na2CdHg
1.0
5.1563 0.0000 0.0000
2.5782 4.4655 0.0000
2.5782 1.4885 4.2101
Na Hg Cd
2 1 1
direct
0.2500 0.2500 0.2500 Na
0.7500 0.7500 0.7500 Na
0.5000 0.5000 0.5000 Hg
0.0000 0.0000 0.0000 Cd
```

Space-group type: Fm-3m
Crystal system: cubic
Energy of formation from the pure elements in eV per atom: -0.1894
ρ in Mg/m³: 6.15
Magnetic moment in μB/atom: 0.000

---

Density functional theory data (SCAN) for a PBEsol-optimized structure of ZrRuPb2Cl.

POSCAR file:
```
ZrRuPb2Cl
1.0
4.3352 0.0000 0.0000
0.0000 5.3237 0.0000
0.0000 0.0000 5.3237
Pb Ru Zr Cl
2 1 1 1
direct
0.0000 0.0000 0.5000 Pb
0.0000 0.5000 0.0000 Pb
0.0000 0.0000 0.0000 Ru
0.5000 0.5000 0.5000 Zr
0.5000 0.0000 0.0000 Cl
```

Space-group type: P4/mmm
Crystal system: tetragonal
Uncorrected formation energy in meV per atom: 572
ρ in Mg/m³: 8.68
Magnetic moment in μB/atom: 0.271

---

Density functional theory data (SCAN) for a PBEsol-optimized structure of BeCoAu2.

POSCAR file:
```
BeCoAu2
1.0
-0.3128 1.3927 2.3766
1.6611 -1.8127 1.2809
5.3235 3.7999 -1.5262
Co Au Be
1 2 1
direct
0.5000 0.5000 0.6997 Co
0.0000 0.0000 0.9676 Au
0.5000 0.5000 0.2998 Au
0.0000 0.0000 0.5329 Be
```

Space-group type: P4mm
Crystal system: tetragonal
Energy of formation from the pure elements in eV per atom: -0.0428
ρ in Mg/m³: 14.86
Magnetic moment in μB/atom: 0.345